# 1
Density functional theory data (PBE) for crystalline PrZnPdN at its relaxed geometry.

extended XYZ file:
```
8
Lattice="3.8473 0.0000 0.0000 0.0000 3.8473 0.0000 0.0000 0.0000 9.4187" Properties=species:S:1:pos:R:3 pbc="T T T"
Pr 0.0000 1.9237 8.1519
Pr 1.9237 0.0000 1.2668
Zn 0.0000 1.9237 3.0547
Zn 1.9237 0.0000 6.3639
Pd 0.0000 0.0000 4.7093
Pd 1.9237 1.9237 4.7093
N 1.9237 0.0000 8.3402
N 0.0000 1.9237 1.0785
```

Properties
* space group: No. 129
* total moment: 0.000 μB per cell
* formation energy (no corrections): -0.74 eV per atom
* uncorrected energy: -5.6325 eV per atom



# 2
Density functional theory data (PBE) for crystalline PrZr2PdN4 at its relaxed geometry.

extended XYZ file:
```
16
Lattice="-1.6345 0.8299 -2.7748 -2.9610 -4.5236 2.3842 -6.5084 7.4562 6.0639" Properties=species:S:1:pos:R:3 pbc="T T T"
Pr -5.7636 4.6328 4.7807
Pr -5.3404 -0.8702 0.8925
Zr -6.3660 1.0802 4.0729
Zr -2.1428 -0.2906 -0.8176
Zr -4.7380 2.6825 1.6003
Zr -8.9611 4.0532 6.4908
Pd -8.3673 3.1051 3.8645
Pd -2.7366 0.6575 1.8087
N -2.7071 -1.4242 1.1686
N -6.5036 3.0178 2.7406
N -8.3969 5.1868 4.5046
N -4.6003 0.7448 2.9326
N -3.2542 3.7281 3.0319
N 0.0000 0.0000 0.0000
N -8.3699 1.7986 5.4682
N -2.7341 1.9640 0.2050
```

Properties
* space group: No. 63
* total moment: 0.000 μB per cell
* formation energy (no corrections): -1.02 eV per atom
* uncorrected energy: -8.5654 eV per atom



# 3
Density functional theory data (PBE) for crystalline PdPtN3 at its relaxed geometry.

extended XYZ file:
```
5
Lattice="3.9140 0.0000 0.0000 0.0000 3.9140 0.0000 0.0000 0.0000 3.9140" Properties=species:S:1:pos:R:3 pbc="T T T"
Pd 0.0000 0.0000 0.0000
Pt 1.9570 1.9570 1.9570
N 0.0000 1.9570 0.0000
N 0.0000 0.0000 1.9570
N 1.9570 0.0000 0.0000
```

Properties
* space group: No. 221
* total moment: 2.174 μB per cell
* formation energy (no corrections): 2.38 eV per atom
* uncorrected energy: -4.8585 eV per atom



# 4
Density functional theory data (PBE) for crystalline Pd3PtN at its relaxed geometry.

extended XYZ file:
```
5
Lattice="-3.9618 -0.3100 1.1505 0.8039 -3.6438 1.7866 0.8794 1.9345 3.5496" Properties=species:S:1:pos:R:3 pbc="T T T"
Pd 0.4019 -1.8219 0.8933
Pd 0.4397 0.9672 1.7748
Pd -1.9809 -0.1550 0.5752
Pt -1.1392 -1.0096 3.2434
N 0.0000 0.0000 0.0000
```

Properties
* space group: No. 221
* total moment: 0.000 μB per cell
* formation energy (no corrections): 0.34 eV per atom
* E above lowest polymorph: 0 meV per atom
* uncorrected energy: -5.6524 eV per atom



# 5
Density functional theory data (PBE) for crystalline PdPt3N at its relaxed geometry.

extended XYZ file:
```
5
Lattice="-3.1715 2.5721 -2.6960 -3.5524 -3.1556 1.1684 -1.1245 2.7146 3.9127" Properties=species:S:1:pos:R:3 pbc="T T T"
Pd 0.0000 0.0000 0.0000
Pt -1.7762 -1.5778 0.5842
Pt -0.5622 1.3573 1.9563
Pt -1.5857 1.2861 -1.3480
N -3.9242 1.0656 1.1925
```

Properties
* space group: No. 221
* total moment: 3.705 μB per cell
* formation energy (no corrections): 2.49 eV per atom
* E above lowest polymorph: 1985 meV per atom
* uncorrected energy: -3.8410 eV per atom



# 6
Density functional theory data (PBE) for crystalline Pd3PtN at its relaxed geometry.

extended XYZ file:
```
5
Lattice="-4.1623 0.0499 2.5275 0.1401 -4.8568 0.3267 2.5241 0.3520 4.1497" Properties=species:S:1:pos:R:3 pbc="T T T"
Pd 0.0701 -2.4284 0.1634
Pd 1.2621 0.1760 2.0749
Pd -2.0811 0.0250 1.2638
Pt 0.0000 0.0000 0.0000
N -0.7490 -2.2275 3.5020
```

Properties
* space group: No. 221
* total moment: 0.000 μB per cell
* formation energy (no corrections): 2.25 eV per atom
* E above lowest polymorph: 1914 meV per atom
* uncorrected energy: -3.7386 eV per atom



# 7
Density functional theory data (PBE) for crystalline PdPtN3 at its relaxed geometry.

extended XYZ file:
```
5
Lattice="-2.3988 -1.6739 2.6305 -1.3387 -2.4445 -2.7763 2.8159 -2.5881 0.9210" Properties=species:S:1:pos:R:3 pbc="T T T"
Pd -0.4608 -3.3533 0.3876
Pt 0.0000 0.0000 0.0000
N -0.6693 -1.2223 -1.3882
N 1.4080 -1.2940 0.4605
N -1.1994 -0.8369 1.3153
```

Properties
* space group: No. 221
* total moment: 3.247 μB per cell
* formation energy (no corrections): 2.05 eV per atom
* uncorrected energy: -5.1931 eV per atom



# 8
Density functional theory data (PBE) for crystalline PdPt3N at its relaxed geometry.

extended XYZ file:
```
5
Lattice="-2.8315 2.9674 -0.7780 -2.9909 -2.9058 -0.1982 -0.6824 0.4229 4.0968" Properties=species:S:1:pos:R:3 pbc="T T T"
Pd -3.2524 0.2423 1.5603
Pt -1.4954 -1.4529 -0.0991
Pt -0.3412 0.2115 2.0484
Pt -1.4157 1.4837 -0.3890
N 0.0000 0.0000 0.0000
```

Properties
* space group: No. 221
* total moment: 0.000 μB per cell
* formation energy (no corrections): 0.50 eV per atom
* E above lowest polymorph: 0 meV per atom
* uncorrected energy: -5.8262 eV per atom



# 9
Density functional theory data (PBE) for crystalline PdPtSeN2 at its relaxed geometry.

extended XYZ file:
```
5
Lattice="-2.0567 -0.5618 -3.0240 -2.3360 -2.0811 1.9754 -4.2078 6.3243 1.6869" Properties=species:S:1:pos:R:3 pbc="T T T"
Se -2.1039 3.1621 0.8435
Pd -4.3003 1.8407 0.3192
Pt 0.0000 0.0000 0.0000
N -1.1680 -1.0406 0.9877
N -1.0283 -0.2809 -1.5120
```

Properties
* space group: No. 123
* total moment: 0.109 μB per cell
* formation energy (no corrections): 1.11 eV per atom
* E above lowest polymorph: 0 meV per atom
* uncorrected energy: -5.1670 eV per atom



# 10
Density functional theory data (PBE) for crystalline PdPtSeN2 at its relaxed geometry.

extended XYZ file:
```
5
Lattice="-2.7771 1.6044 1.8679 -0.6382 -3.1883 1.7896 4.8453 2.0738 5.4226" Properties=species:S:1:pos:R:3 pbc="T T T"
Se 2.4226 1.0369 2.7113
Pd 0.0000 0.0000 0.0000
Pt 0.7150 0.2449 4.5400
N -0.3191 -1.5942 0.8948
N -1.3886 0.8022 0.9340
```

Properties
* space group: No. 123
* total moment: 0.689 μB per cell
* formation energy (no corrections): 1.53 eV per atom
* E above lowest polymorph: 424 meV per atom
* uncorrected energy: -4.7426 eV per atom



# 11
Density functional theory data (PBE) for crystalline Sr2PdPtN at its relaxed geometry.

extended XYZ file:
```
5
Lattice="-2.2304 -2.2101 -4.3110 4.6911 0.1996 -2.5294 0.8806 -3.5308 1.3545" Properties=species:S:1:pos:R:3 pbc="T T T"
Sr 2.3456 0.0998 -1.2647
Sr -1.1152 -1.1050 -2.1555
Pd 0.4403 -1.7654 0.6773
Pt 1.6706 -2.7707 -2.7429
N 0.0000 0.0000 0.0000
```

Properties
* space group: No. 123
* total moment: 0.000 μB per cell
* formation energy (no corrections): -0.55 eV per atom
* E above lowest polymorph: 62 meV per atom
* uncorrected energy: -5.1393 eV per atom



# 12
Density functional theory data (PBE) for crystalline Sr2PdPtN at its relaxed geometry.

extended XYZ file:
```
5
Lattice="5.4236 0.0000 0.0000 0.0000 5.4236 0.0000 0.0000 0.0000 3.8216" Properties=species:S:1:pos:R:3 pbc="T T T"
Sr 0.0000 2.7118 0.0000
Sr 2.7118 0.0000 0.0000
Pd 2.7118 2.7118 1.9108
Pt 0.0000 0.0000 1.9108
N 0.0000 0.0000 0.0000
```

Properties
* space group: No. 123
* total moment: 0.000 μB per cell
* formation energy (no corrections): -0.62 eV per atom
* E above lowest polymorph: 0 meV per atom
* uncorrected energy: -5.2011 eV per atom



# 13
Density functional theory data (PBE) for crystalline UPdPtN at its relaxed geometry.

extended XYZ file:
```
8
Lattice="-0.3281 3.2717 1.8530 -2.3939 1.2526 -2.6354 -7.0012 -3.3912 4.7479" Properties=species:S:1:pos:R:3 pbc="T T T"
U -7.2680 -2.3143 2.7994
U -1.0942 1.1853 1.5573
Pd -3.5006 -1.6956 2.3740
Pd -4.8616 0.5665 1.9827
Pt -5.1851 -0.7962 4.3315
Pt -3.1771 -0.3329 0.0252
N -1.3610 2.2621 -0.3912
N 0.0000 0.0000 0.0000
```

Properties
* space group: No. 129
* total moment: 0.000 μB per cell
* formation energy (no corrections): -0.75 eV per atom
* uncorrected energy: -8.4628 eV per atom



# 14
Density functional theory data (PBE) for crystalline ZrPdPt2N at its relaxed geometry.

extended XYZ file:
```
5
Lattice="4.8285 0.0000 0.0000 0.0000 4.8519 0.0000 0.0000 0.0000 4.8285" Properties=species:S:1:pos:R:3 pbc="T T T"
Zr 0.0000 2.4260 0.0000
Pd 0.0000 0.0000 0.0000
Pt 0.0000 0.0000 2.4143
Pt 2.4143 0.0000 0.0000
N 2.4143 2.4260 2.4143
```

Properties
* space group: No. 123
* total moment: 0.000 μB per cell
* formation energy (no corrections): 1.89 eV per atom
* uncorrected energy: -4.9441 eV per atom



# 15
Density functional theory data (PBE) for crystalline PuPdN2 at its relaxed geometry.

extended XYZ file:
```
4
Lattice="-1.8211 0.4057 -2.9099 1.4017 -0.8365 -3.0469 -1.8915 -4.7388 -1.5299" Properties=species:S:1:pos:R:3 pbc="T T T"
N -0.6423 -1.4618 -1.8549
N -1.6686 -3.7079 -5.6318
Pd 0.0000 0.0000 0.0000
Pu -1.1555 -2.5848 -3.7433
```

Properties
* space group: No. 166
* total moment: 3.108 μB per cell
* formation energy (no corrections): -0.39 eV per atom
* uncorrected energy: -9.4356 eV per atom



# 16
Density functional theory data (PBE) for crystalline Pu2PdN at its relaxed geometry.

extended XYZ file:
```
4
Lattice="-1.1094 -1.1996 -2.9216 4.3591 0.0861 -1.6906 0.6810 -4.3648 1.5336" Properties=species:S:1:pos:R:3 pbc="T T T"
N 1.9653 -2.7392 -1.5393
Pd -0.5547 -0.5998 -1.4608
Pu 0.3405 -2.1824 0.7668
Pu 2.1796 0.0430 -0.8453
```

Properties
* space group: No. 123
* total moment: 10.827 μB per cell
* formation energy (no corrections): -0.10 eV per atom
* E above lowest polymorph: 576 meV per atom
* uncorrected energy: -10.6492 eV per atom



# 17
Density functional theory data (PBE) for crystalline Pu2PdN at its relaxed geometry.

extended XYZ file:
```
4
Lattice="3.1032 0.0000 0.0000 0.0000 3.1032 0.0000 0.0000 0.0000 7.2447" Properties=species:S:1:pos:R:3 pbc="T T T"
N 1.5516 1.5516 0.0000
Pd 1.5516 1.5516 3.6223
Pu 0.0000 0.0000 5.8228
Pu 0.0000 0.0000 1.4219
```

Properties
* space group: No. 123
* total moment: 11.236 μB per cell
* formation energy (no corrections): -0.50 eV per atom
* E above lowest polymorph: 182 meV per atom
* uncorrected energy: -11.0431 eV per atom



# 18
Density functional theory data (PBE) for crystalline Pu2PdN at its relaxed geometry.

extended XYZ file:
```
4
Lattice="-2.5080 -1.1800 -2.0324 0.7791 -1.7974 -2.8241 -0.8086 -7.2781 2.3174" Properties=species:S:1:pos:R:3 pbc="T T T"
N 0.0000 0.0000 0.0000
Pd -1.2688 -5.1278 -1.2696
Pu -0.6210 -2.2011 -0.8620
Pu -1.9165 -8.0544 -1.6772
```

Properties
* space group: No. 166
* total moment: 11.214 μB per cell
* formation energy (no corrections): -0.68 eV per atom
* E above lowest polymorph: 0 meV per atom
* uncorrected energy: -11.2252 eV per atom



# 19
Density functional theory data (PBE) for crystalline PuPdN at its relaxed geometry.

extended XYZ file:
```
6
Lattice="3.7993 0.0000 0.0000 1.8996 3.2903 0.0000 1.8996 1.0968 8.2436" Properties=species:S:1:pos:R:3 pbc="T T T"
Pu 3.7993 2.1935 1.3959
Pu 3.7993 2.1935 6.8477
N 1.8996 1.0967 0.8409
N 5.6989 3.2903 7.4027
Pd 5.6989 3.2903 3.4114
Pd 1.8996 1.0968 4.8322
```

Properties
* space group: No. 166
* total moment: 8.414 μB per cell
* formation energy (no corrections): -0.65 eV per atom
* E above lowest polymorph: 0 meV per atom
* uncorrected energy: -9.9351 eV per atom



# 20
Density functional theory data (PBE) for crystalline PuPdN at its relaxed geometry.

extended XYZ file:
```
3
Lattice="4.0354 0.0000 0.0000 0.0000 4.0354 0.0000 -2.0177 -2.0177 3.3366" Properties=species:S:1:pos:R:3 pbc="T T T"
Pu 2.0177 2.0177 0.5625
Pd 2.0177 2.0177 3.1958
N 0.0000 0.0000 1.9140
```

Properties
* space group: No. 107
* total moment: 4.859 μB per cell
* formation energy (no corrections): 0.00 eV per atom
* E above lowest polymorph: 652 meV per atom
* uncorrected energy: -9.2827 eV per atom